(1)
A geometry-optimized PmHo2Sn structure. Source: Alexandria via LeMat-Bulk, functional PBE.

CIF file:
```
data_PmHo2Sn
_chemical_formula_sum 'Pm1 Ho2 Sn1'
_symmetry_space_group_name_H-M 'P 4/m m m'
_symmetry_Int_Tables_number 123
_symmetry_space_group_name_Hall '-P 4 2'
_cell_length_a 4.8438
_cell_length_b 4.8438
_cell_length_c 4.8167
_cell_angle_alpha 90.00
_cell_angle_beta 90.00
_cell_angle_gamma 90.00
loop_
_atom_site_label
_atom_site_type_symbol
_atom_site_fract_x
_atom_site_fract_y
_atom_site_fract_z
_atom_site_occupancy
Pm1 Pm 0.0000 0.0000 0.0000 1
Ho1 Ho 0.0000 0.5000 0.5000 1
Sn1 Sn 0.5000 0.5000 0.0000 1
```

## Properties
- Total magnetic moment: 0.0 μB per formula unit
- Energy of formation from the pure elements: -0.4187 eV per atom
- E above lowest polymorph: 0.000 eV/atom

=====

(2)
A geometry-optimized Pm2HoSn2 structure. Source: Alexandria via LeMat-Bulk, functional PBE.

CIF file:
```
data_Pm2HoSn2
_chemical_formula_sum 'Pm8 Ho4 Sn8'
_symmetry_space_group_name_H-M 'C m c 21'
_symmetry_Int_Tables_number 36
_symmetry_space_group_name_Hall 'C 2c -2'
_cell_length_a 5.0640
_cell_length_b 18.3513
_cell_length_c 6.5485
_cell_angle_alpha 90.00
_cell_angle_beta 90.00
_cell_angle_gamma 90.00
loop_
_atom_site_label
_atom_site_type_symbol
_atom_site_fract_x
_atom_site_fract_y
_atom_site_fract_z
_atom_site_occupancy
Pm1 Pm 0.0000 0.0003 0.0000 1
Pm2 Pm 0.0000 0.1931 0.2517 1
Ho1 Ho 0.0000 0.3970 0.2493 1
Sn1 Sn 0.0000 0.1893 0.7518 1
Sn2 Sn 0.0000 0.4243 0.7499 1
```

## Properties
- Total magnetic moment: 0.0 μB per formula unit
- Energy of formation from the pure elements: -0.6338 eV per atom
- E above lowest polymorph: 0.078 eV/atom

=====

(3)
A geometry-optimized PmHo4Sn2 structure. Source: Alexandria via LeMat-Bulk, functional PBE.

CIF file:
```
data_PmHo4Sn2
_chemical_formula_sum 'Pm3 Ho12 Sn6'
_symmetry_space_group_name_H-M 'R -3 m'
_symmetry_Int_Tables_number 166
_symmetry_space_group_name_Hall '-R 3 2"'
_cell_length_a 5.0410
_cell_length_b 5.0410
_cell_length_c 31.2945
_cell_angle_alpha 90.00
_cell_angle_beta 90.00
_cell_angle_gamma 120.00
loop_
_atom_site_label
_atom_site_type_symbol
_atom_site_fract_x
_atom_site_fract_y
_atom_site_fract_z
_atom_site_occupancy
Pm1 Pm 0.0000 0.0000 0.0000 1
Ho1 Ho 0.0000 0.0000 0.2023 1
Ho2 Ho 0.0000 0.0000 0.3922 1
Sn1 Sn 0.0000 0.0000 0.1014 1
```

## Properties
- Total magnetic moment: 1.6 μB per formula unit
- Energy of formation from the pure elements: -0.1862 eV per atom

=====

(4)
A geometry-optimized Pm2Ho5Sn4 structure. Source: Alexandria via LeMat-Bulk, functional PBE.

CIF file:
```
data_Pm2Ho5Sn4
_chemical_formula_sum 'Pm4 Ho10 Sn8'
_symmetry_space_group_name_H-M 'C 1 2/m 1'
_symmetry_Int_Tables_number 12
_symmetry_space_group_name_Hall '-C 2y'
_cell_length_a 26.5359
_cell_length_b 3.5032
_cell_length_c 7.3752
_cell_angle_alpha 90.00
_cell_angle_beta 90.01
_cell_angle_gamma 90.00
loop_
_atom_site_label
_atom_site_type_symbol
_atom_site_fract_x
_atom_site_fract_y
_atom_site_fract_z
_atom_site_occupancy
Pm1 Pm 0.0923 0.0000 0.2884 1
Ho1 Ho 0.0000 0.5000 0.0000 1
Ho2 Ho 0.1386 0.0000 0.8243 1
Ho3 Ho 0.2368 0.0000 0.2116 1
Sn1 Sn 0.0302 0.0000 0.6657 1
Sn2 Sn 0.1771 0.5000 0.4992 1
```

## Properties
- Total magnetic moment: 0.0 μB per formula unit
- Energy of formation from the pure elements: -0.2593 eV per atom

=====

(5)
A geometry-optimized Pm2Ho2Sn structure. Source: Alexandria via LeMat-Bulk, functional PBE.

CIF file:
```
data_Pm2Ho2Sn
_chemical_formula_sum 'Pm4 Ho4 Sn2'
_symmetry_space_group_name_H-M 'I 4/m m m'
_symmetry_Int_Tables_number 139
_symmetry_space_group_name_Hall '-I 4 2'
_cell_length_a 4.3642
_cell_length_b 4.3642
_cell_length_c 17.3029
_cell_angle_alpha 90.00
_cell_angle_beta 90.00
_cell_angle_gamma 90.00
loop_
_atom_site_label
_atom_site_type_symbol
_atom_site_fract_x
_atom_site_fract_y
_atom_site_fract_z
_atom_site_occupancy
Pm1 Pm 0.0000 0.0000 0.0868 1
Ho1 Ho 0.0000 0.5000 0.2500 1
Sn1 Sn 0.0000 0.0000 0.5000 1
```

## Properties
- Total magnetic moment: 0.0 μB per formula unit
- Energy of formation from the pure elements: 0.1327 eV per atom

=====

(6)
A geometry-optimized Pm2HoSn6 structure. Source: Alexandria via LeMat-Bulk, functional PBE.

CIF file:
```
data_Pm2HoSn6
_chemical_formula_sum 'Pm4 Ho2 Sn12'
_symmetry_space_group_name_H-M 'C 1 m 1'
_symmetry_Int_Tables_number 8
_symmetry_space_group_name_Hall 'C -2y'
_cell_length_a 17.6245
_cell_length_b 6.8923
_cell_length_c 4.4866
_cell_angle_alpha 90.00
_cell_angle_beta 104.70
_cell_angle_gamma 90.00
loop_
_atom_site_label
_atom_site_type_symbol
_atom_site_fract_x
_atom_site_fract_y
_atom_site_fract_z
_atom_site_occupancy
Pm1 Pm 0.0000 0.0000 0.0000 1
Pm2 Pm 0.2297 0.0000 0.2292 1
Ho1 Ho 0.0547 0.5000 0.0556 1
Sn1 Sn 0.1208 0.2255 0.6210 1
Sn2 Sn 0.3066 0.2884 0.8062 1
Sn3 Sn 0.4240 0.2124 0.4229 1
```

## Properties
- Total magnetic moment: 0.0 μB per formula unit
- Energy of formation from the pure elements: -0.4720 eV per atom